# 1
Material: Rb2ScCrIn
Method: DFT, PBE-GGA
State: optimized geometry

Lattice parameters (Å, degrees): 7.1306 7.1306 5.4940 90.00 90.00 90.00
Space group P4/mmm (No. 123)
Unique sites:
1 Rb 0.0000 0.5000 0.0000 x2
2 Sc 0.0000 0.0000 0.0000 x1
3 Cr 0.5000 0.5000 0.5000 x1
4 In 0.0000 0.0000 0.5000 x1

ΔH_f (0 K): 1.157 eV/atom
E: -2.9682 eV/atom

***

# 2
Material: KZnNi2
Method: DFT, PBE-GGA
State: optimized geometry

Lattice parameters (Å, degrees): 8.4974 2.7579 6.7055 90.00 97.02 90.00
Space group C2/m (No. 12)
Unique sites:
1 K 0.0000 0.0000 0.0000 x2
2 Zn 0.0000 0.5000 0.5000 x2
3 Ni 0.2271 0.0000 0.6360 x4

ΔH_f (0 K): 0.335 eV/atom
E: -3.1482 eV/atom
energy above the most stable polymorph in this dataset: 28 meV per atom

***

# 3
Material: NaSrGe
Method: DFT, PBE-GGA
State: optimized geometry

Lattice parameters (Å, degrees): 7.3598 7.3598 13.8114 90.00 90.00 120.00
Space group P6_222 (No. 180)
Unique sites:
1 Na 0.0000 0.0000 0.0000 x3
2 Na 0.0000 0.5000 0.1667 x3
3 Sr 0.0000 0.5000 0.4528 x6
4 Ge 0.1961 0.5980 0.6667 x6

ΔH_f (0 K): -0.184 eV/atom
E: -2.7230 eV/atom

***

# 4
Material: La12Sm2Tm5
Method: DFT, PBE-GGA
State: optimized geometry

Lattice parameters (Å, degrees): 13.3119 11.8036 9.5435 90.00 117.37 90.00
Space group C2/m (No. 12)
Unique sites:
1 La 0.0623 0.0000 0.2748 x4
2 La 0.0966 0.5000 0.4182 x4
3 La 0.1040 0.2421 0.9062 x8
4 La 0.2154 0.2372 0.3130 x8
5 Sm 0.0000 0.2126 0.5000 x4
6 Tm 0.0000 0.5000 0.0000 x2
7 Tm 0.1975 0.0000 0.7330 x4
8 Tm 0.2190 0.5000 0.8638 x4

ΔH_f (0 K): 0.103 eV/atom
E: -4.6821 eV/atom

***

# 5
Material: MgScIn2
Method: DFT, PBE-GGA
State: optimized geometry

Lattice parameters (Å, degrees): 3.2324 3.2324 8.7360 90.00 90.00 90.00
Space group P4/mmm (No. 123)
Unique sites:
1 Mg 0.0000 0.0000 0.0000 x1
2 Sc 0.0000 0.0000 0.5000 x1
3 In 0.5000 0.5000 0.2515 x2

ΔH_f (0 K): -0.232 eV/atom
E: -3.5832 eV/atom

***

# 6
Material: Na4CdPb3
Method: DFT, PBE-GGA
State: optimized geometry

Lattice parameters (Å, degrees): 14.9964 5.5742 6.2164 90.00 114.08 90.00
Space group C2/m (No. 12)
Unique sites:
1 Na 0.1188 0.0000 0.1279 x4
2 Na 0.2483 0.5000 0.2405 x4
3 Cd 0.0000 0.0000 0.5000 x2
4 Pb 0.0000 0.5000 0.0000 x2
5 Pb 0.1172 0.5000 0.6132 x4

ΔH_f (0 K): -0.079 eV/atom
E: -2.2435 eV/atom

***

# 7
Material: NdI2
Method: DFT, PBE-GGA
State: optimized geometry

Lattice parameters (Å, degrees): 12.3702 12.3648 8.7489 90.00 134.84 90.00
Space group C2/c (No. 15)
Unique sites:
1 Nd 0.0000 0.0000 0.0000 x4
2 Nd 0.2500 0.2500 0.0000 x4
3 I 0.0008 0.2581 0.4855 x8
4 I 0.2347 0.4919 0.4855 x8

E: -3.8892 eV/atom

***

# 8
Material: La6Pr8Sc
Method: DFT, PBE-GGA
State: optimized geometry

Lattice parameters (Å, degrees): 10.0734 10.0734 18.1504 90.00 90.00 120.00
Space group R-3 (No. 148, hexagonal axes)
Unique sites:
1 La 0.0404 0.6192 0.3399 x18
2 Pr 0.0000 0.0000 0.4134 x6
3 Pr 0.0569 0.8178 0.1699 x18
4 Sc 0.0000 0.0000 0.0000 x3

ΔH_f (0 K): 0.142 eV/atom
E: -4.8006 eV/atom
energy above the most stable polymorph in this dataset: 45 meV per atom

***

# 9
Material: ZnCo2Hg
Method: DFT, PBE-GGA
State: optimized geometry

Lattice parameters (Å, degrees): 6.1101 6.1101 6.1101 90.00 90.00 90.00
Space group F-43m (No. 216)
Unique sites:
1 Zn 0.0000 0.0000 0.0000 x4
2 Co 0.0000 0.0000 0.5000 x4
3 Co 0.2500 0.2500 0.2500 x4
4 Hg 0.2500 0.2500 0.7500 x4

ΔH_f (0 K): 0.352 eV/atom
E: -3.5951 eV/atom

***

# 10
Material: SrNbSbH2
Method: DFT, PBE-GGA
State: optimized geometry

Lattice parameters (Å, degrees): 4.2754 4.2754 6.6479 90.00 90.00 90.00
Space group P4/mmm (No. 123)
Unique sites:
1 Sr 0.0000 0.0000 0.0000 x1
2 Nb 0.0000 0.0000 0.5000 x1
3 Sb 0.5000 0.5000 0.0000 x1
4 H 0.0000 0.5000 0.5000 x2

E: -3.8147 eV/atom

***

# 11
Material: SrCaPb2
Method: DFT, PBE-GGA
State: optimized geometry

Lattice parameters (Å, degrees): 7.3226 9.4841 3.7099 90.00 90.00 90.00
Space group Cmmm (No. 65)
Unique sites:
1 Sr 0.0000 0.0000 0.0000 x2
2 Ca 0.0000 0.5000 0.0000 x2
3 Pb 0.2500 0.2500 0.5000 x4

ΔH_f (0 K): -0.508 eV/atom
E: -3.2832 eV/atom

***

- Look up the E of the first one.
  -2.9682 eV/atom

***

- Which of these has the highest E?
  Na4CdPb3

***

Copy entry 5 word for word.
Material: MgScIn2
Method: DFT, PBE-GGA
State: optimized geometry

Lattice parameters (Å, degrees): 3.2324 3.2324 8.7360 90.00 90.00 90.00
Space group P4/mmm (No. 123)
Unique sites:
1 Mg 0.0000 0.0000 0.0000 x1
2 Sc 0.0000 0.0000 0.5000 x1
3 In 0.5000 0.5000 0.2515 x2

ΔH_f (0 K): -0.232 eV/atom
E: -3.5832 eV/atom